Record 1
Compound: La5Tb2Dy4
Source: Alexandria
Functional: PBE
Structure: optimized geometry

abc: 9.304 9.304 11.904
angles: 101.02 101.02 22.42
Fractional positions:
La  0.000  0.000  0.000
La  0.334  0.334  0.998
La  0.351  0.351  0.492
La  0.649  0.649  0.508
La  0.666  0.666  0.002
Tb  0.146  0.146  0.251
Tb  0.854  0.854  0.749
Dy  0.191  0.191  0.761
Dy  0.480  0.480  0.273
Dy  0.520  0.520  0.727
Dy  0.809  0.809  0.239

Results
Offset from the most stable computed form   0 meV/atom
ΔH_f (0 K)   1.4 eV/f.u.
Crystal system   monoclinic



Record 2
Compound: La2TbDy7
Source: Alexandria
Functional: PBE
Structure: optimized geometry

abc: 6.200 7.166 8.032
angles: 77.10 74.97 73.61
Fractional positions:
La  0.201  0.298  0.101
La  0.799  0.702  0.899
Tb  0.000  0.500  0.500
Dy  0.000  0.000  0.500
Dy  0.199  0.800  0.103
Dy  0.398  0.101  0.696
Dy  0.399  0.601  0.697
Dy  0.601  0.399  0.303
Dy  0.602  0.899  0.304
Dy  0.801  0.200  0.897

Results
Offset from the most stable computed form   0 meV/atom
ΔH_f (0 K)   0.2 eV/f.u.
Crystal system   triclinic



Record 3
Compound: La6TbDy12
Source: Alexandria
Functional: PBE
Structure: optimized geometry

abc: 8.818 8.818 8.818
angles: 98.77 98.77 98.77
Fractional positions:
La  0.155  0.595  0.595
La  0.405  0.405  0.845
La  0.405  0.845  0.405
La  0.595  0.155  0.595
La  0.595  0.595  0.155
La  0.845  0.405  0.405
Tb  0.500  0.500  0.500
Dy  0.000  0.255  0.745
Dy  0.000  0.745  0.255
Dy  0.145  0.145  0.420
Dy  0.145  0.420  0.145
Dy  0.255  0.000  0.745
Dy  0.255  0.745  0.000
Dy  0.420  0.145  0.145
Dy  0.580  0.855  0.855
Dy  0.745  0.000  0.255
Dy  0.745  0.255  0.000
Dy  0.855  0.580  0.855
Dy  0.855  0.855  0.580

Results
ΔH_f (0 K)   4.1 eV/f.u.
Crystal system   trigonal



Record 4
Compound: La4TbDy
Source: Alexandria
Functional: PBE
Structure: optimized geometry

abc: 11.407 6.109 6.093
angles: 90.00 90.01 90.00
Fractional positions:
La  0.157  0.000  0.001
La  0.157  0.500  0.499
La  0.343  0.000  0.501
La  0.343  0.500  0.999
La  0.657  0.000  0.499
La  0.657  0.500  0.001
La  0.843  0.000  0.999
La  0.843  0.500  0.501
Tb  0.000  0.500  0.000
Tb  0.500  0.000  0.000
Dy  0.000  0.000  0.500
Dy  0.500  0.500  0.500

Results
Offset from the most stable computed form   76 meV/atom
ΔH_f (0 K)   0.6 eV/f.u.
Crystal system   monoclinic



Record 5
Compound: LaTb7Dy2
Source: Alexandria
Functional: PBE
Structure: optimized geometry

abc: 9.157 9.157 5.678
angles: 90.00 90.00 122.72
Fractional positions:
La  0.000  0.000  0.000
Tb  0.061  0.294  0.500
Tb  0.222  0.778  0.000
Tb  0.294  0.061  0.500
Tb  0.500  0.500  0.500
Tb  0.706  0.939  0.500
Tb  0.778  0.222  0.000
Tb  0.939  0.706  0.500
Dy  0.297  0.703  0.500
Dy  0.703  0.297  0.500

Results
Offset from the most stable computed form   660 meV/atom
ΔH_f (0 K)   6.8 eV/f.u.
Crystal system   orthorhombic



Record 6
Compound: La2Tb8Dy
Source: Alexandria
Functional: PBE
Structure: optimized geometry

abc: 9.511 9.511 8.040
angles: 104.76 104.76 31.04
Fractional positions:
La  0.227  0.227  0.137
La  0.773  0.773  0.863
Tb  0.044  0.044  0.228
Tb  0.134  0.134  0.675
Tb  0.319  0.319  0.593
Tb  0.411  0.411  0.047
Tb  0.589  0.589  0.953
Tb  0.681  0.681  0.407
Tb  0.866  0.866  0.325
Tb  0.956  0.956  0.772
Dy  0.500  0.500  0.500

Results
Offset from the most stable computed form   0 meV/atom
ΔH_f (0 K)   0.3 eV/f.u.
Crystal system   monoclinic



Record 7
Compound: La2Tb2Dy3
Source: Alexandria
Functional: PBE
Structure: optimized geometry

abc: 17.746 3.529 8.629
angles: 90.00 119.00 90.00
Fractional positions:
La  0.067  0.000  0.219
La  0.433  0.500  0.781
La  0.567  0.500  0.219
La  0.933  0.000  0.781
Tb  0.153  0.500  0.965
Tb  0.347  0.000  0.035
Tb  0.653  0.000  0.965
Tb  0.847  0.500  0.035
Dy  0.000  0.500  0.500
Dy  0.212  0.500  0.625
Dy  0.288  0.000  0.375
Dy  0.500  0.000  0.500
Dy  0.712  0.000  0.625
Dy  0.788  0.500  0.375

Results
Offset from the most stable computed form   109 meV/atom
ΔH_f (0 K)   0.9 eV/f.u.
Crystal system   monoclinic



Record 8
Compound: LaTb7Dy3
Source: Alexandria
Functional: PBE
Structure: optimized geometry

abc: 7.092 7.092 8.645
angles: 90.00 90.00 120.00
Fractional positions:
La  0.000  0.000  0.000
Tb  0.166  0.331  0.330
Tb  0.166  0.834  0.330
Tb  0.501  0.002  0.995
Tb  0.501  0.499  0.995
Tb  0.667  0.333  0.325
Tb  0.669  0.834  0.330
Tb  0.998  0.499  0.995
Dy  0.335  0.167  0.660
Dy  0.833  0.167  0.660
Dy  0.833  0.665  0.660

Results
Offset from the most stable computed form   60 meV/atom
ΔH_f (0 K)   2.2 eV/f.u.
Crystal system   trigonal



Question: What is the ΔH_f (0 K) in the sixth record?
Answer: 0.3 eV/f.u.